*w*
KMnAu: relaxed, PBE.

total magnetization = 4.3 μB/cell

```
data_KMnAu
_space_group_name_H-M_alt 'P -6 m 2'
_space_group_IT_number 187
_space_group_name_Hall 'P -6 2'
_cell_length_a 4.5194
_cell_length_b 4.5194
_cell_length_c 5.1336
_cell_angle_alpha 90.00
_cell_angle_beta 90.00
_cell_angle_gamma 120.00
loop_
_atom_site_label
_atom_site_type_symbol
_atom_site_fract_x
_atom_site_fract_y
_atom_site_fract_z
K1 K 0.0000 0.0000 0.0000
Mn1 Mn 0.6667 0.3333 0.5000
Au1 Au 0.3333 0.6667 0.5000
```


*x*
KMnAu: relaxed, PBE.

total magnetization = 8.5 μB/cell

```
data_KMnAu
_space_group_name_H-M_alt 'I m m 2'
_space_group_IT_number 44
_space_group_name_Hall 'I 2 -2'
_cell_length_a 3.2469
_cell_length_b 4.0867
_cell_length_c 12.1993
_cell_angle_alpha 90.00
_cell_angle_beta 90.00
_cell_angle_gamma 90.00
loop_
_atom_site_label
_atom_site_type_symbol
_atom_site_fract_x
_atom_site_fract_y
_atom_site_fract_z
K1 K 0.0000 0.0000 0.0000
Mn1 Mn 0.0000 0.0000 0.7330
Au1 Au 0.0000 0.0000 0.2793
```


Stability summary - winner: *x*; margin: 60 meV/atom.


*w*
KMn3Au: relaxed, PBE.

total magnetization = 11.6 μB/cell

```
data_KMn3Au
_space_group_name_H-M_alt 'P m -3 m'
_space_group_IT_number 221
_space_group_name_Hall '-P 4 2 3'
_cell_length_a 4.6815
_cell_length_b 4.6815
_cell_length_c 4.6815
_cell_angle_alpha 90.00
_cell_angle_beta 90.00
_cell_angle_gamma 90.00
loop_
_atom_site_label
_atom_site_type_symbol
_atom_site_fract_x
_atom_site_fract_y
_atom_site_fract_z
K1 K 0.0000 0.0000 0.0000
Mn1 Mn 0.0000 0.0000 0.5000
Au1 Au 0.5000 0.5000 0.5000
```


*x*
KMn3Au: relaxed, PBE.

total magnetization = 13.4 μB/cell

```
data_KMn3Au
_space_group_name_H-M_alt 'P m -3 m'
_space_group_IT_number 221
_space_group_name_Hall '-P 4 2 3'
_cell_length_a 5.1442
_cell_length_b 5.1442
_cell_length_c 5.1442
_cell_angle_alpha 90.00
_cell_angle_beta 90.00
_cell_angle_gamma 90.00
loop_
_atom_site_label
_atom_site_type_symbol
_atom_site_fract_x
_atom_site_fract_y
_atom_site_fract_z
K1 K 0.0000 0.0000 0.0000
Mn1 Mn 0.0000 0.5000 0.5000
Au1 Au 0.5000 0.5000 0.5000
```


Stability summary - winner: *x*; margin: 1308 meV/atom.


*w*
KMoAu: relaxed, PBE.

total magnetization = 5.7 μB/cell

```
data_KMoAu
_space_group_name_H-M_alt 'I 4 m m'
_space_group_IT_number 107
_space_group_name_Hall 'I 4 -2'
_cell_length_a 3.6200
_cell_length_b 3.6200
_cell_length_c 12.5534
_cell_angle_alpha 90.00
_cell_angle_beta 90.00
_cell_angle_gamma 90.00
loop_
_atom_site_label
_atom_site_type_symbol
_atom_site_fract_x
_atom_site_fract_y
_atom_site_fract_z
K1 K 0.0000 0.0000 0.0000
Mo1 Mo 0.0000 0.0000 0.2735
Au1 Au 0.0000 0.0000 0.7063
```


*x*
KMoAu: relaxed, PBE.

total magnetization = 0.0 μB/cell

```
data_KMoAu
_space_group_name_H-M_alt 'P 3 m 1'
_space_group_IT_number 156
_space_group_name_Hall 'P 3 -2"'
_cell_length_a 2.9302
_cell_length_b 2.9302
_cell_length_c 8.4417
_cell_angle_alpha 90.00
_cell_angle_beta 90.00
_cell_angle_gamma 120.00
loop_
_atom_site_label
_atom_site_type_symbol
_atom_site_fract_x
_atom_site_fract_y
_atom_site_fract_z
K1 K 0.0000 0.0000 0.0000
Mo1 Mo 0.6667 0.3333 0.3754
Au1 Au 0.3333 0.6667 0.6512
```


*y*
KMoAu: relaxed, PBE.

total magnetization = 21.6 μB/cell

```
data_KMoAu
_space_group_name_H-M_alt 'F -4 3 m'
_space_group_IT_number 216
_space_group_name_Hall 'F -4 2 3'
_cell_length_a 7.4155
_cell_length_b 7.4155
_cell_length_c 7.4155
_cell_angle_alpha 90.00
_cell_angle_beta 90.00
_cell_angle_gamma 90.00
loop_
_atom_site_label
_atom_site_type_symbol
_atom_site_fract_x
_atom_site_fract_y
_atom_site_fract_z
K1 K 0.0000 0.0000 0.0000
Mo1 Mo 0.2500 0.2500 0.2500
Au1 Au 0.2500 0.2500 0.7500
```


*z*
KMoAu: relaxed, PBE.

total magnetization = 0.0 μB/cell

```
data_KMoAu
_space_group_name_H-M_alt 'P n m a'
_space_group_IT_number 62
_space_group_name_Hall '-P 2ac 2n'
_cell_length_a 9.4863
_cell_length_b 3.2046
_cell_length_c 9.5115
_cell_angle_alpha 90.00
_cell_angle_beta 90.00
_cell_angle_gamma 90.00
loop_
_atom_site_label
_atom_site_type_symbol
_atom_site_fract_x
_atom_site_fract_y
_atom_site_fract_z
K1 K 0.0693 0.2500 0.1521
Mo1 Mo 0.0829 0.2500 0.5361
Au1 Au 0.2370 0.2500 0.8575
```


Stability summary - winner: *z*; margin: 416 meV/atom.